[1]
# BaTl2P PBE-GGA optimized geometry
data_BaTl2P
_chemical_formula_sum 'Ba1 Tl2 P1'
_space_group_name_H-M_alt 'P 1 m 1'
_space_group_IT_number 6
_cell_length_a 5.117
_cell_length_b 4.173
_cell_length_c 6.491
_cell_angle_alpha 90.00
_cell_angle_beta 113.04
_cell_angle_gamma 90.00
loop_
_space_group_symop_operation_xyz
'x,y,z'
'x,-y,z'
loop_
_atom_site_label
_atom_site_fract_x
_atom_site_fract_y
_atom_site_fract_z
Ba1 0.000 0.000 0.000
Tl1 0.294 0.000 0.588
Tl2 0.706 0.500 0.411
P1 0.465 0.500 0.929
# Spin magnetization   0.000 μB per atom
# Energy of formation from the pure elements   -0.39 eV/atom
# V   127.5 Å³/f.u.
# Excess energy over the best structure of this formula in the dataset   0 meV per atom

[2]
# BaTlP2 PBE-GGA optimized geometry
data_BaTlP2
_chemical_formula_sum 'Ba1 Tl1 P2'
_space_group_name_H-M_alt 'P 4/m m m'
_space_group_IT_number 123
_space_group_name_Hall '-P 4 2'
_cell_length_a 4.843
_cell_length_b 4.843
_cell_length_c 4.469
_cell_angle_alpha 90.00
_cell_angle_beta 90.00
_cell_angle_gamma 90.00
loop_
_atom_site_label
_atom_site_fract_x
_atom_site_fract_y
_atom_site_fract_z
Ba1 0.000 0.000 0.000
Tl1 0.500 0.500 0.000
P1 0.000 0.500 0.500
# Spin magnetization   0.000 μB per atom
# Energy of formation from the pure elements   -0.07 eV/atom
# V   104.8 Å³/f.u.
# Excess energy over the best structure of this formula in the dataset   350 meV per atom

[3]
# BaTl2P PBE-GGA optimized geometry
data_BaTl2P
_chemical_formula_sum 'Ba3 Tl6 P3'
_space_group_name_H-M_alt 'R -3 m'
_space_group_IT_number 166
_space_group_name_Hall '-R 3 2"'
_cell_length_a 4.9802
_cell_length_b 4.9802
_cell_length_c 17.7449
_cell_angle_alpha 90.00
_cell_angle_beta 90.00
_cell_angle_gamma 120.00
loop_
_atom_site_label
_atom_site_fract_x
_atom_site_fract_y
_atom_site_fract_z
Ba1 0.0000 0.0000 0.0000
Tl1 0.0000 0.0000 0.2212
P1 0.0000 0.0000 0.5000
# Spin magnetization   0.000 μB per atom
# Energy of formation from the pure elements   -0.18 eV/atom
# V   127.1 Å³/f.u.
# Excess energy over the best structure of this formula in the dataset   218 meV per atom

[4]
# BaTl2P2 PBE-GGA optimized geometry
data_BaTl2P2
_chemical_formula_sum 'Ba2 Tl4 P4'
_space_group_name_H-M_alt 'I 4/m m m'
_space_group_IT_number 139
_space_group_name_Hall '-I 4 2'
_cell_length_a 5.243
_cell_length_b 5.243
_cell_length_c 10.115
_cell_angle_alpha 90.00
_cell_angle_beta 90.00
_cell_angle_gamma 90.00
loop_
_atom_site_label
_atom_site_fract_x
_atom_site_fract_y
_atom_site_fract_z
Ba1 0.000 0.000 0.000
Tl1 0.000 0.000 0.353
P1 0.000 0.500 0.250
# Spin magnetization   0.000 μB per atom
# Energy of formation from the pure elements   -0.19 eV/atom
# V   139.0 Å³/f.u.
# Excess energy over the best structure of this formula in the dataset   193 meV per atom

[5]
# BaTlP2 PBE-GGA optimized geometry
data_BaTlP2
_chemical_formula_sum 'Ba2 Tl2 P4'
_space_group_name_H-M_alt 'C 1 m 1'
_space_group_IT_number 8
_cell_length_a 11.036
_cell_length_b 4.328
_cell_length_c 5.075
_cell_angle_alpha 90.00
_cell_angle_beta 95.73
_cell_angle_gamma 90.00
loop_
_space_group_symop_operation_xyz
'x,y,z'
'x,-y,z'
'x+1/2,y+1/2,z'
'x+1/2,-y+1/2,z'
loop_
_atom_site_label
_atom_site_fract_x
_atom_site_fract_y
_atom_site_fract_z
Ba1 0.000 0.000 0.000
Tl1 0.276 0.000 0.460
P1 0.052 0.500 0.522
P2 0.202 0.500 0.825
# Spin magnetization   0.000 μB per atom
# Energy of formation from the pure elements   -0.42 eV/atom
# V   120.6 Å³/f.u.
# Excess energy over the best structure of this formula in the dataset   0 meV per atom

[6]
# BaTl2P PBE-GGA optimized geometry
data_BaTl2P
_chemical_formula_sum 'Ba2 Tl4 P2'
_space_group_name_H-M_alt 'I -4 m 2'
_space_group_IT_number 119
_space_group_name_Hall 'I -4 -2'
_cell_length_a 5.060
_cell_length_b 5.060
_cell_length_c 9.474
_cell_angle_alpha 90.00
_cell_angle_beta 90.00
_cell_angle_gamma 90.00
loop_
_atom_site_label
_atom_site_fract_x
_atom_site_fract_y
_atom_site_fract_z
Ba1 0.000 0.000 0.000
Tl1 0.000 0.000 0.500
Tl2 0.000 0.500 0.250
P1 0.000 0.500 0.750
# Spin magnetization   0.000 μB per atom
# Energy of formation from the pure elements   -0.19 eV/atom
# V   121.3 Å³/f.u.
# Excess energy over the best structure of this formula in the dataset   200 meV per atom